A plane-wave DFT calculation with PBE was carried out for crystalline Pu2Tl3Hg at its relaxed geometry.

ΔH_f (0 K)	169	meV/atom

Unit cell a=14.337 b=5.189 c=10.644 alpha=90.00 beta=114.41 gamma=90.00
Space group C2/m (No. 12)
Asymmetric unit:
1 Pu 0.082 0.000 0.478
2 Pu 0.206 0.000 0.727
3 Tl 0.029 0.000 0.159
4 Tl 0.044 0.500 0.688
5 Tl 0.223 0.000 0.061
6 Hg 0.214 0.500 0.549

=====

A plane-wave DFT calculation with PBE was carried out for crystalline TaZn2Co at its relaxed geometry.

excess energy over the best structure of this formula in the dataset	0.000	eV per atom
ΔH_f (0 K)	-78	meV/atom

Unit cell a=2.953 b=2.953 c=6.549 alpha=90.00 beta=90.00 gamma=90.00
Space group P4mm (No. 99)
Asymmetric unit:
1 Ta 0.000 0.000 0.000
2 Zn 0.000 0.000 0.547
3 Zn 0.500 0.500 0.296
4 Co 0.500 0.500 0.775

=====

A plane-wave DFT calculation with PBE was carried out for crystalline Cs2MnBr6N at its relaxed geometry.

formation energy from raw total energies	-0.55	eV/atom

Unit cell a=7.759 b=7.759 c=10.992 alpha=90.00 beta=90.00 gamma=90.00
Space group I4/mmm (No. 139)
Asymmetric unit:
1 Cs 0.000 0.500 0.250
2 Mn 0.000 0.000 0.000
3 Br 0.000 0.000 0.226
4 Br 0.227 0.227 0.000
5 N 0.000 0.000 0.500

=====

A plane-wave DFT calculation with PBE was carried out for crystalline Zr2ScZn2 at its relaxed geometry.

excess energy over the best structure of this formula in the dataset	0.000	eV per atom
ΔH_f (0 K)	-243	meV/atom

Unit cell a=3.307 b=4.779 c=12.574 alpha=90.00 beta=97.58 gamma=90.00
Space group P2_1/m (No. 11)
Asymmetric unit:
1 Zr 0.043 0.250 0.089
2 Zr 0.234 0.250 0.468
3 Sc 0.148 0.750 0.296
4 Zn 0.364 0.750 0.727
5 Zn 0.447 0.250 0.894

=====

A plane-wave DFT calculation with PBE was carried out for crystalline Tl4PAu at its relaxed geometry.

ΔH_f (0 K)	536	meV/atom

Unit cell a=8.856 b=8.856 c=8.856 alpha=90.00 beta=90.00 gamma=90.00
Space group F-43m (No. 216)
Asymmetric unit:
1 Tl 0.125 0.125 0.125
2 P 0.000 0.000 0.500
3 Au 0.250 0.250 0.750

=====

A plane-wave DFT calculation with PBE was carried out for crystalline Na3MnAu at its relaxed geometry.

excess energy over the best structure of this formula in the dataset	0.324	eV per atom
ΔH_f (0 K)	803	meV/atom

Unit cell a=5.608 b=5.608 c=5.608 alpha=90.00 beta=90.00 gamma=90.00
Space group Pm-3m (No. 221)
Asymmetric unit:
1 Na 0.000 0.000 0.500
2 Mn 0.000 0.000 0.000
3 Au 0.500 0.500 0.500

=====

A plane-wave DFT calculation with PBE was carried out for crystalline Tl2AgIrO6 at its relaxed geometry.

formation energy from raw total energies	-0.56	eV/atom

Unit cell a=5.8020 b=5.8020 c=14.4287 alpha=90.00 beta=90.00 gamma=120.00
Space group R3 (No. 146, hexagonal axes)
Asymmetric unit:
1 Tl 0.0000 0.0000 0.0000
2 Tl 0.0000 0.0000 0.4756
3 Ag 0.0000 0.0000 0.2420
4 Ir 0.0000 0.0000 0.7749
5 O 0.0668 0.3611 0.3708
6 O 0.0674 0.6672 0.5270

=====

A plane-wave DFT calculation with PBE was carried out for crystalline Ba2CrBr at its relaxed geometry.

formation energy from raw total energies	0.23	eV/atom
excess energy over the best structure of this formula in the dataset	0.543	eV per atom

Unit cell a=8.395 b=8.395 c=8.395 alpha=90.00 beta=90.00 gamma=90.00
Space group F-43m (No. 216)
Asymmetric unit:
1 Ba 0.000 0.000 0.000
2 Ba 0.250 0.250 0.250
3 Cr 0.250 0.250 0.750
4 Br 0.000 0.000 0.500

=====

A plane-wave DFT calculation with PBE was carried out for crystalline NiOs3 at its relaxed geometry.

ΔH_f (0 K)	163	meV/atom

Unit cell a=2.705 b=3.795 c=5.305 alpha=90.00 beta=90.00 gamma=90.00
Space group Pmmm (No. 47)
Asymmetric unit:
1 Ni 0.000 0.000 0.000
2 Os 0.000 0.000 0.500
3 Os 0.500 0.500 0.242

=====

A plane-wave DFT calculation with PBE was carried out for crystalline Pr4Al3Ga at its relaxed geometry.

ΔH_f (0 K)	-403	meV/atom

Unit cell a=4.273 b=4.521 c=11.609 alpha=90.00 beta=90.00 gamma=90.00
Space group Pmm2 (No. 25)
Asymmetric unit:
1 Pr 0.000 0.000 0.000
2 Pr 0.000 0.500 0.495
3 Pr 0.500 0.000 0.710
4 Pr 0.500 0.500 0.213
5 Al 0.000 0.500 0.788
6 Al 0.500 0.000 0.418
7 Al 0.500 0.500 0.922
8 Ga 0.000 0.000 0.285

=====

A plane-wave DFT calculation with PBE was carried out for crystalline KTlSb2 at its relaxed geometry.

formation energy from raw total energies	-0.13	eV/atom
excess energy over the best structure of this formula in the dataset	0.084	eV per atom

Unit cell a=6.556 b=11.139 c=3.401 alpha=90.00 beta=90.00 gamma=90.00
Space group Cmmm (No. 65)
Asymmetric unit:
1 K 0.000 0.000 0.000
2 Tl 0.000 0.500 0.000
3 Sb 0.250 0.250 0.500

=====

A plane-wave DFT calculation with PBE was carried out for crystalline HoLuThSc at its relaxed geometry.

ΔH_f (0 K)	89	meV/atom

Unit cell a=7.777 b=7.777 c=7.777 alpha=90.00 beta=90.00 gamma=90.00
Space group F-43m (No. 216)
Asymmetric unit:
1 Ho 0.000 0.000 0.000
2 Lu 0.250 0.250 0.250
3 Th 0.000 0.000 0.500
4 Sc 0.250 0.250 0.750

=====

A plane-wave DFT calculation with PBE was carried out for crystalline Sr4LaPb at its relaxed geometry.

ΔH_f (0 K)	291	meV/atom

Unit cell a=10.316 b=10.316 c=10.316 alpha=90.00 beta=90.00 gamma=90.00
Space group F-43m (No. 216)
Asymmetric unit:
1 Sr 0.125 0.125 0.125
2 La 0.250 0.250 0.750
3 Pb 0.000 0.000 0.500

=====

A plane-wave DFT calculation with PBE was carried out for crystalline BaThC3N6 at its relaxed geometry.

formation energy from raw total energies	-0.70	eV/atom

Unit cell a=7.1787 b=7.1787 c=15.3588 alpha=90.00 beta=90.00 gamma=120.00
Space group R3 (No. 146, hexagonal axes)
Asymmetric unit:
1 Ba 0.0000 0.0000 0.0000
2 Th 0.0000 0.0000 0.3660
3 C 0.0297 0.4364 0.8597
4 N 0.0770 0.3980 0.9321
5 N 0.1582 0.3491 0.1204

=====

A plane-wave DFT calculation with PBE was carried out for crystalline BaAlTlS2 at its relaxed geometry.

formation energy from raw total energies	-0.66	eV/atom

Unit cell a=5.079 b=5.079 c=5.088 alpha=90.00 beta=90.00 gamma=90.00
Space group P4/mmm (No. 123)
Asymmetric unit:
1 Ba 0.000 0.000 0.000
2 Al 0.500 0.500 0.500
3 Tl 0.500 0.500 0.000
4 S 0.000 0.500 0.500

=====

A plane-wave DFT calculation with PBE was carried out for crystalline La2TbPr4Dy2 at its relaxed geometry.

ΔH_f (0 K)	9	meV/atom

Unit cell a=19.172 b=3.708 c=9.824 alpha=90.00 beta=115.72 gamma=90.00
Space group C2/m (No. 12)
Asymmetric unit:
1 La 0.166 0.000 0.498
2 Tb 0.000 0.500 0.500
3 Pr 0.018 0.000 0.835
4 Pr 0.186 0.500 0.833
5 Dy 0.148 0.500 0.167

=====

A plane-wave DFT calculation with PBE was carried out for crystalline AcPr3C8 at its relaxed geometry.

ΔH_f (0 K)	163	meV/atom

Unit cell a=7.347 b=7.347 c=8.102 alpha=90.00 beta=90.00 gamma=90.00
Space group I-42m (No. 121)
Asymmetric unit:
1 Ac 0.000 0.000 0.000
2 Pr 0.000 0.000 0.500
3 Pr 0.000 0.500 0.250
4 C 0.172 0.172 0.249
5 C 0.230 0.230 0.650

=====

A plane-wave DFT calculation with PBE was carried out for crystalline Cd2AgAu7 at its relaxed geometry.

ΔH_f (0 K)	111	meV/atom

Unit cell a=7.492 b=14.639 c=4.366 alpha=90.00 beta=90.00 gamma=90.00
Space group Cmmm (No. 65)
Asymmetric unit:
1 Cd 0.000 0.198 0.000
2 Ag 0.000 0.500 0.500
3 Au 0.000 0.000 0.000
4 Au 0.000 0.313 0.500
5 Au 0.186 0.401 0.000

=====

A plane-wave DFT calculation with PBE was carried out for crystalline SrTc2Ir at its relaxed geometry.

excess energy over the best structure of this formula in the dataset	0.566	eV per atom
ΔH_f (0 K)	947	meV/atom

Unit cell a=3.920 b=3.920 c=4.756 alpha=90.00 beta=90.00 gamma=90.00
Space group P4/mmm (No. 123)
Asymmetric unit:
1 Sr 0.000 0.000 0.000
2 Tc 0.000 0.500 0.500
3 Ir 0.500 0.500 0.000

=====

A plane-wave DFT calculation with PBE was carried out for crystalline CaLaPrGa at its relaxed geometry.

ΔH_f (0 K)	-149	meV/atom

Unit cell a=7.854 b=7.854 c=7.854 alpha=90.00 beta=90.00 gamma=90.00
Space group F-43m (No. 216)
Asymmetric unit:
1 Ca 0.000 0.000 0.000
2 La 0.250 0.250 0.250
3 Pr 0.250 0.250 0.750
4 Ga 0.000 0.000 0.500

=====

A plane-wave DFT calculation with PBE was carried out for crystalline Sc2Pt2Au at its relaxed geometry.

excess energy over the best structure of this formula in the dataset	0.327	eV per atom
ΔH_f (0 K)	-729	meV/atom

Unit cell a=4.525 b=4.525 c=10.418 alpha=90.00 beta=90.00 gamma=90.00
Space group I4/mmm (No. 139)
Asymmetric unit:
1 Sc 0.000 0.500 0.250
2 Pt 0.000 0.000 0.122
3 Au 0.000 0.000 0.500

=====

A plane-wave DFT calculation with PBE was carried out for crystalline AcPm4Y3 at its relaxed geometry.

excess energy over the best structure of this formula in the dataset	0.106	eV per atom
ΔH_f (0 K)	191	meV/atom

Unit cell a=27.870 b=3.699 c=5.681 alpha=90.00 beta=101.71 gamma=90.00
Space group C2/m (No. 12)
Asymmetric unit:
1 Ac 0.000 0.000 0.000
2 Pm 0.102 0.000 0.607
3 Pm 0.220 0.000 0.719
4 Y 0.000 0.500 0.500
5 Y 0.148 0.500 0.152

=====

A plane-wave DFT calculation with PBE was carried out for crystalline Li2BeSb at its relaxed geometry.

formation energy from raw total energies	0.01	eV/atom
excess energy over the best structure of this formula in the dataset	0.146	eV per atom

Unit cell a=3.134 b=4.072 c=5.235 alpha=90.00 beta=90.34 gamma=90.00
Space group P2/m (No. 10)
Asymmetric unit:
1 Li 0.004 0.000 0.257
2 Be 0.500 0.500 0.500
3 Sb 0.500 0.500 0.000

=====

A plane-wave DFT calculation with PBE was carried out for crystalline Ba2MgZn3F12 at its relaxed geometry.

formation energy from raw total energies	-2.95	eV/atom

Unit cell a=7.5019 b=7.5019 c=17.9414 alpha=90.00 beta=90.00 gamma=120.00
Space group R-3m (No. 166, hexagonal axes)
Asymmetric unit:
1 Ba 0.0000 0.0000 0.1776
2 Mg 0.0000 0.0000 0.5000
3 Zn 0.0000 0.5000 0.0000
4 F 0.0683 0.5341 0.1105
5 F 0.0769 0.5385 0.3707

=====

A plane-wave DFT calculation with PBE was carried out for crystalline RbTa2SnPb at its relaxed geometry.

ΔH_f (0 K)	2725	meV/atom

Unit cell a=5.009 b=5.009 c=5.798 alpha=90.00 beta=90.00 gamma=90.00
Space group P4/mmm (No. 123)
Asymmetric unit:
1 Rb 0.000 0.000 0.000
2 Ta 0.000 0.500 0.000
3 Sn 0.000 0.000 0.500
4 Pb 0.500 0.500 0.500

=====

A plane-wave DFT calculation with PBE was carried out for crystalline DyEr2Cd at its relaxed geometry.

excess energy over the best structure of this formula in the dataset	0.081	eV per atom
ΔH_f (0 K)	-65	meV/atom

Unit cell a=3.5724 b=3.5724 c=31.9471 alpha=90.00 beta=90.00 gamma=120.00
Space group R3m (No. 160, hexagonal axes)
Asymmetric unit:
1 Dy 0.0000 0.0000 0.0000
2 Er 0.0000 0.0000 0.5778
3 Er 0.0000 0.0000 0.7555
4 Cd 0.0000 0.0000 0.1664

=====

no.,total magnetization (μB/cell),N(E_F) (states/eV/cell)
1,2.18,57.89
2,0.00,1.80
3,12.00,0.00
4,0.00,6.64
5,0.00,9.07
6,4.14,8.40
7,2.39,20.07
8,17.52,21.99
9,0.00,3.91
10,0.00,9.76
11,0.00,2.22
12,0.00,28.29
13,4.82,31.73
14,0.00,0.00
15,0.00,1.64
16,0.00,25.50
17,0.00,7.12
18,0.00,5.86
19,0.00,6.94
20,0.00,11.18
21,0.00,6.21
22,0.00,27.76
23,0.00,1.56
24,0.00,0.00
25,0.00,6.42
26,1.44,17.94